Entry 1:
GGA-PBEsol SiAgSb2, optimized geometry; formation energy from raw total energies = 0.376 eV per atom; final energy = -4.167 eV/atom; total magnetic moment = 0.00 Bohr magnetons per cell; space group = I-4m2 (119)
1.0
4.158 0.000 0.000
0.000 4.158 0.000
-2.079 -2.079 4.996
Sb Ag Si
2 1 1
Cartesian
2.079 0.000 2.498
0.000 0.000 0.000
0.000 2.079 2.498
2.079 2.079 0.000


Entry 2:
GGA-PBEsol LaPtSI2, optimized geometry; formation energy from raw total energies = 0.316 eV per atom; final energy = -3.729 eV/atom; total magnetic moment = 2.43 Bohr magnetons per cell; space group = P4/mmm (123)
1.0
-4.329 2.021 -2.016
-3.281 -4.687 2.346
-0.907 3.234 5.192
S La I Pt
1 1 2 1
Cartesian
-4.259 0.284 2.761
0.000 0.000 0.000
-1.640 -2.344 1.173
-0.454 1.617 2.596
-2.165 1.011 -1.008


Entry 3:
GGA-PBEsol LiPb3, optimized geometry; final energy = -3.617 eV/atom; total magnetic moment = 0.00 Bohr magnetons per cell; formation energy from the elements = -0.126 eV/atom; space group = I4/mmm (139)
1.0
-2.705 -0.418 3.861
-2.456 -3.462 -2.096
5.655 -1.331 0.918
Li Pb
1 3
Cartesian
0.000 0.000 0.000
-2.581 -1.940 0.882
0.310 -3.367 -0.148
0.184 -1.844 2.830


Entry 4:
GGA-PBEsol ScTaFeSi2, optimized geometry; formation energy from raw total energies = 0.660 eV per atom; final energy = -7.263 eV/atom; total magnetic moment = 1.83 Bohr magnetons per cell; space group = P4/mmm (123)
1.0
4.453 0.000 0.000
0.000 4.745 0.000
0.000 0.000 4.745
Si Ta Fe Sc
2 1 1 1
Cartesian
0.000 2.372 0.000
0.000 0.000 2.372
0.000 0.000 0.000
2.226 0.000 0.000
2.226 2.372 2.372


Entry 5:
GGA-PBEsol Sr3Hg, optimized geometry; final energy = -1.744 eV/atom; total magnetic moment = 0.00 Bohr magnetons per cell; polymorph energy (0 for the lowest one) = 77.8 meV/atom; formation energy from the elements = -0.222 eV/atom; space group = P-6m2 (187)
1.0
4.208 0.000 0.000
-2.104 3.645 0.000
0.000 0.000 11.337
Sr Hg
3 1
Cartesian
0.000 0.000 5.669
0.000 2.430 9.161
0.000 2.430 2.176
0.000 0.000 0.000


Entry 6:
GGA-PBEsol BaLiMg, optimized geometry; final energy = -1.950 eV/atom; total magnetic moment = 0.00 Bohr magnetons per cell; polymorph energy (0 for the lowest one) = 0.0 meV/atom; formation energy from the elements = -0.006 eV/atom; space group = I4mm (107)
1.0
-3.075 1.246 -2.254
-0.107 -3.569 -1.828
-2.298 -0.866 6.227
Li Mg Ba
1 1 1
Cartesian
-2.321 -1.210 2.499
-3.138 -1.968 -0.375
-0.020 -0.011 0.022


Entry 7:
GGA-PBEsol PbSO4, optimized geometry; formation energy from raw total energies = -1.476 eV per atom; final energy = -6.373 eV/atom; total magnetic moment = 0.00 Bohr magnetons per cell; polymorph energy (0 for the lowest one) = 0.0 meV/atom; space group = Pnma (62)
1.0
5.392 0.000 0.000
0.000 6.939 0.000
0.000 0.000 8.398
O Pb S
16 4 4
Cartesian
2.564 4.802 4.877
4.044 3.193 6.752
1.348 4.109 7.607
1.348 3.746 1.647
5.260 1.333 7.720
4.044 2.830 0.791
5.260 2.137 3.521
0.132 4.802 4.877
0.132 5.607 0.678
4.044 0.639 4.990
2.828 1.333 7.720
2.564 5.607 0.678
1.348 6.300 3.408
1.348 6.663 5.846
2.828 2.137 3.521
4.044 0.276 2.552
1.348 2.310 5.793
4.044 5.780 6.804
1.348 1.159 1.594
4.044 4.629 2.605
4.044 1.266 3.662
4.044 2.204 7.861
1.348 5.673 4.736
1.348 4.736 0.537


Entry 8:
GGA-PBEsol Mg2AlCr3S8, optimized geometry; formation energy from raw total energies = -0.977 eV per atom; final energy = -6.214 eV/atom; total magnetic moment = 9.00 Bohr magnetons per cell; space group = R-3m (166)
1.0
-6.477 -0.035 -2.961
-0.786 -2.092 -6.762
-3.199 -6.199 -1.435
S Cr Mg Al
8 3 2 1
Cartesian
-5.645 -2.200 -4.253
-3.096 -3.121 -5.956
-6.284 -3.366 -7.589
-7.703 -6.131 -8.216
-4.816 -6.127 -6.905
-4.177 -4.961 -3.570
-7.365 -5.206 -5.203
-2.758 -2.196 -2.942
-3.631 -1.064 -4.862
-1.992 -4.146 -4.099
-4.838 -3.117 -2.198
-1.299 -1.034 -1.386
-9.162 -7.293 -9.773
-5.231 -4.164 -5.579


| no. | volume (Å³ per cell) |
| --- | --- |
| 1 | 86 |
| 2 | 198 |
| 3 | 108 |
| 4 | 100 |
| 5 | 174 |
| 6 | 98 |
| 7 | 314 |
| 8 | 257 |